# 1
An optimized crystal structure of NdScSn, computed with GGA-PBE.

Cell: 7.2916 7.2916 7.2916 Å, 90.00 90.00 90.00°
Space group F-43m (No. 216)
Asymmetric unit:
Nd (0.0000, 0.0000, 0.0000)
Sc (0.2500, 0.2500, 0.7500)
Sn (0.2500, 0.2500, 0.2500)

Results
Uncorrected energy ... -4.785 eV per atom
Offset from the most stable computed form ... 0.880 eV per atom


# 2
An optimized crystal structure of BeCoTcBi, computed with GGA-PBE.

Cell: 6.1420 6.1420 6.1420 Å, 90.00 90.00 90.00°
Space group F-43m (No. 216)
Asymmetric unit:
Be (0.0000, 0.0000, 0.0000)
Co (0.2500, 0.2500, 0.7500)
Tc (0.2500, 0.2500, 0.2500)
Bi (0.0000, 0.0000, 0.5000)

Results
Uncorrected energy ... -5.823 eV per atom
Offset from the most stable computed form ... 0.000 eV per atom


# 3
An optimized crystal structure of DyGeB, computed with GGA-PBE.

Cell: 6.3242 6.3242 6.3242 Å, 90.00 90.00 90.00°
Space group F-43m (No. 216)
Asymmetric unit:
Dy (0.0000, 0.0000, 0.0000)
Ge (0.2500, 0.2500, 0.2500)
B (0.2500, 0.2500, 0.7500)

Results
Uncorrected energy ... -4.651 eV per atom
Offset from the most stable computed form ... 0.739 eV per atom


# 4
An optimized crystal structure of InCuReIr, computed with GGA-PBE.

Cell: 6.2796 6.2796 6.2796 Å, 90.00 90.00 90.00°
Space group F-43m (No. 216)
Asymmetric unit:
In (0.0000, 0.0000, 0.0000)
Cu (0.2500, 0.2500, 0.2500)
Re (0.0000, 0.0000, 0.5000)
Ir (0.2500, 0.2500, 0.7500)

Results
Uncorrected energy ... -6.537 eV per atom
Offset from the most stable computed form ... 0.000 eV per atom